[1]
Entry from the Alexandria database: a relaxed LiInFe crystal (GGA-PBE).

Cell lengths 4.4377, 4.4377, 2.8051 Å; angles 90.00, 90.00, 120.00 degrees
With the nearest neighbours (Å) after each atom.
Positions (direct):
In: 0.6667 0.3333 0.3709  3 Li 2.69, 2 In 2.81, 3 Fe 2.81
Li: 0.3333 0.6667 0.6680  3 Fe 2.69, 3 In 2.69, 2 Li 2.81
Fe: 0.0000 0.0000 0.9611  3 Li 2.69, 2 Fe 2.81, 3 In 2.81

SG: P3m1 (156)
ΔE_f, eV/atom: 0.18
Final energy, eV per atom: -4.20
Total magnetic moment, μB/atom: 0.833

[2]
Entry from the Alexandria database: a relaxed Y2AlNi6Ge crystal (GGA-PBE).

Cell lengths 6.1882, 6.2703, 6.2691 Å; angles 46.31, 80.94, 98.93 degrees
With the nearest neighbours (Å) after each atom.
Positions (direct):
Ge: 0.0000 0.0000 0.0000  6 Ni 2.36-2.43
Ni: 0.5794 0.7486 0.1698  4 Ni 2.39-2.42, 1 Ge 2.43, 1 Al 2.45
Ni: 0.7438 0.2428 0.9986  1 Ge 2.36, 1 Al 2.38, 4 Ni 2.39-2.47
Ni: 0.2562 0.7572 0.0014  1 Ge 2.36, 1 Al 2.38, 4 Ni 2.39-2.47
Y: 0.7920 0.2499 0.4589  7 Ni 2.92-3.01, 2 Al 3.21, 2 Ge 3.21
Ni: 0.7437 0.7418 0.4992  1 Ge 2.36, 1 Al 2.38, 4 Ni 2.39-2.47
Ni: 0.2563 0.2582 0.5008  1 Ge 2.36, 1 Al 2.38, 4 Ni 2.39-2.47
Ni: 0.4206 0.2514 0.8302  4 Ni 2.39-2.42, 1 Ge 2.43, 1 Al 2.45
Al: 0.5000 0.5000 0.0000  6 Ni 2.38-2.45
Y: 0.2080 0.7501 0.5411  7 Ni 2.92-3.01, 2 Al 3.21, 2 Ge 3.21

SG: C2/m (12)
ΔE_f, eV/atom: -0.41
Final energy, eV per atom: -6.01
Total magnetic moment, μB/atom: 0.000

[3]
Entry from the Alexandria database: a relaxed SrTlRh2 crystal (GGA-PBE).

Cell lengths 5.6676, 5.6676, 4.9679 Å; angles 71.64, 71.64, 32.92 degrees
With the nearest neighbours (Å) after each atom.
Positions (direct):
Rh: 0.7232 0.7232 0.7241  2 Rh 2.78, 1 Sr 2.97, 4 Tl 3.00
Rh: 0.0170 0.0170 0.0379  2 Rh 2.78, 4 Sr 2.93-3.02, 3 Tl 2.98-3.11
Tl: 0.2727 0.2727 0.1893  7 Rh 2.98-3.11, 2 Tl 3.21, 1 Sr 3.27
Sr: 0.4871 0.4871 0.5488  7 Rh 2.93-3.15, 2 Sr 3.21, 1 Tl 3.27

SG: Cm (8)
ΔE_f, eV/atom: 0.01
Offset from the most stable computed form, meV per atom: 171
Final energy, eV per atom: -4.68
Total magnetic moment, μB/atom: 0.004

[4]
Entry from the Alexandria database: a relaxed TbDyBiSb crystal (GGA-PBE).

Cell lengths 4.4372, 4.4371, 6.2716 Å; angles 89.98, 90.00, 90.00 degrees
With the nearest neighbours (Å) after each atom.
Positions (direct):
Tb: 0.0000 0.8916 0.5924  2 Sb 3.14, 4 Bi 3.14
Bi: 0.5000 0.3916 0.5925  2 Dy 3.14, 4 Tb 3.14
Sb: 0.0000 0.8915 0.0924  2 Tb 3.14, 4 Dy 3.14
Dy: 0.5000 0.3915 0.0924  2 Bi 3.14, 4 Sb 3.14

SG: P4/mmm (123)
Energy relative to the elements, uncorrected, eV/atom: -1.001
Final energy, eV per atom: -5.31
Total magnetic moment, μB/atom: 0.000

[5]
Entry from the Alexandria database: a relaxed AcPrTlBi crystal (GGA-PBE).

Cell lengths 5.7609, 5.7609, 5.7609 Å; angles 60.00, 60.00, 60.00 degrees
With the nearest neighbours (Å) after each atom.
Positions (direct):
Bi: 0.5000 0.5000 0.5000  4 Ac 3.53, 4 Pr 3.53
Tl: 0.0000 0.0000 0.0000  4 Ac 3.53, 4 Pr 3.53
Ac: 0.7500 0.7500 0.7500  4 Bi 3.53, 4 Tl 3.53
Pr: 0.2500 0.2500 0.2500  4 Tl 3.53, 4 Bi 3.53

SG: F-43m (216)
ΔE_f, eV/atom: -0.48
Final energy, eV per atom: -4.26
Total magnetic moment, μB/atom: 0.000

[6]
Entry from the Alexandria database: a relaxed Nd3Cu4P4O2 crystal (GGA-PBE).

Cell lengths 13.6295, 13.6295, 13.6295 Å; angles 163.12, 163.12, 23.95 degrees
With the nearest neighbours (Å) after each atom.
Positions (direct):
Cu: 0.5942 0.0942 0.5000  4 P 2.35-2.43
Nd: 0.0000 0.0000 0.0000  8 P 3.04, 8 Cu 3.21
P: 0.4577 0.4577 0.0000  1 P 2.26, 4 Cu 2.43
Nd: 0.7048 0.7048 0.0000  4 O 2.34
P: 0.8595 0.8595 0.0000  4 Cu 2.35
Cu: 0.9058 0.4058 0.5000  4 P 2.35-2.43
O: 0.7500 0.2500 0.5000  4 Nd 2.34
P: 0.1405 0.1405 0.0000  4 Cu 2.35
Cu: 0.0942 0.5942 0.5000  4 P 2.35-2.43
Cu: 0.4058 0.9058 0.5000  4 P 2.35-2.43
Nd: 0.2952 0.2952 0.0000  4 O 2.34
P: 0.5423 0.5423 0.0000  1 P 2.26, 4 Cu 2.43
O: 0.2500 0.7500 0.5000  4 Nd 2.34

SG: I4/mmm (139)
Energy relative to the elements, uncorrected, eV/atom: -1.353
Final energy, eV per atom: -6.14
Total magnetic moment, μB/atom: 0.000

[7]
Entry from the Alexandria database: a relaxed KTeBr2 crystal (GGA-PBE).

Cell lengths 5.7615, 5.7615, 5.7615 Å; angles 60.00, 60.00, 60.00 degrees
With the nearest neighbours (Å) after each atom.
Positions (direct):
Te: 0.5000 0.5000 0.5000  8 Br 3.53
K: 0.0000 0.0000 0.0000  8 Br 3.53
Br: 0.2500 0.2500 0.2500  4 K 3.53, 4 Te 3.53
Br: 0.7500 0.7500 0.7500  4 K 3.53, 4 Te 3.53

SG: Fm-3m (225)
Energy relative to the elements, uncorrected, eV/atom: -0.472
Offset from the most stable computed form, meV per atom: 316
Final energy, eV per atom: -2.37
Total magnetic moment, μB/atom: 0.743